Computed, not measured: an optimized crystal structure of HfF4 at the PBE level of DFT.

Structure (POSCAR):
```
HfF4
1.0
5.909 -4.974 0.000
5.909 4.974 0.000
-4.528 0.000 6.249
Hf F
6 24
Direct
0.214 0.786 0.750
0.224 0.366 0.167
0.366 0.224 0.667
0.634 0.776 0.333
0.776 0.634 0.833
0.786 0.214 0.250
0.000 0.500 0.000
0.030 0.724 0.850
0.063 0.172 0.456
0.172 0.063 0.956
0.184 0.598 0.424
0.258 0.317 0.893
0.261 0.503 0.717
0.276 0.970 0.650
0.317 0.258 0.393
0.394 0.606 0.250
0.402 0.816 0.076
0.497 0.739 0.783
0.500 0.000 0.500
0.503 0.261 0.217
0.598 0.184 0.924
0.606 0.394 0.750
0.683 0.742 0.607
0.724 0.030 0.350
0.739 0.497 0.283
0.742 0.683 0.107
0.816 0.402 0.576
0.828 0.937 0.044
0.937 0.828 0.544
0.970 0.276 0.150
```

Computed properties:
* ρ: 6.902 g cm⁻³
* E: -7.277 eV per atom
* energy relative to the elements, uncorrected: -3.7888 eV per atom
* N(E_F): 0.0 states/eV/f.u.